1.
Compound: LaTa2Cd
Source: Alexandria via LeMat-Bulk
Functional: PBE-GGA
Structure: optimized geometry

Results
SG = No. 6

a = 3.0270 Å, b = 4.6033 Å, c = 6.5997 Å
α = 90.00°, β = 99.93°, γ = 90.00°
With the nearest neighbours (Å) after each atom.
Positions (direct):
La 0.0000 0.0000 0.0000  2 La 3.03, 5 Ta 3.15-3.39, 4 Cd 3.37-3.39
Ta 0.5138 0.5000 0.2680  4 Ta 2.77-3.03, 1 Cd 2.93
Ta 0.8528 0.0000 0.4714  4 Ta 2.77-3.03, 2 Cd 3.06
Cd 0.3938 0.5000 0.6992  5 Ta 2.93-3.20, 2 Cd 3.03

2.
Compound: La2TaCd
Source: Alexandria via LeMat-Bulk
Functional: PBE-GGA
Structure: optimized geometry

Results
SG = No. 122

a = 11.4261 Å, b = 11.4261 Å, c = 11.4261 Å
α = 157.44°, β = 157.44°, γ = 32.12°
With the nearest neighbours (Å) after each atom.
Positions (direct):
La 0.1039 0.6250 0.9789  4 La 3.03-3.30, 2 Ta 3.14, 2 Cd 3.20
La 0.3750 0.3539 0.4789  4 La 3.03-3.30, 2 Ta 3.14, 2 Cd 3.20
La 0.6461 0.1250 0.0211  4 La 3.03-3.30, 2 Ta 3.14, 2 Cd 3.20
La 0.8750 0.8961 0.5211  4 La 3.03-3.30, 2 Ta 3.14, 2 Cd 3.20
Ta 0.0000 0.0000 0.0000  4 La 3.14, 4 Cd 3.16
Ta 0.7500 0.2500 0.5000  4 La 3.14, 4 Cd 3.16
Cd 0.2500 0.7500 0.5000  4 Ta 3.16, 4 La 3.20
Cd 0.5000 0.5000 0.0000  4 Ta 3.16, 4 La 3.20

Which N(E_F) belongs to each record? In order, 5.091 8.347 states/eV/cell.
Which ΔE_f belongs to each record? In order, 0.379 0.751 eV per atom.